LiTi2GeO: optimized geometry, PBE.

Cell: 4.114 4.114 3.816 Å, 90.00 90.00 90.00°
Fractional coordinates of all 5 atoms:
O1 0.000 0.000 0.000
Ti1 0.000 0.500 0.000
Ti2 0.500 0.000 0.000
Li1 0.000 0.000 0.500
Ge1 0.500 0.500 0.500

Values from the calculation:
Its spin magnetization is 0.00 μB per formula unit. Its space group is P4/mmm, No. 123. The calculation puts the density of states at the Fermi level at 4.0 states/eV/f.u. As for the uncorrected energy: -6.7578 eV/atom.